Entry 1:
USb2Pt: optimized geometry, PBE.

The structure in POSCAR format:
```
USb2Pt
1.0
1.6757 0.9675 10.1704
-1.6757 0.9675 10.1704
0.0000 -1.9349 10.1704
U Sb Pt
1 2 1
Direct
0.0000 0.0000 0.0000
0.1029 0.1029 0.1029
0.8971 0.8971 0.8971
0.5000 0.5000 0.5000
```

Calculated values
Crystal system: trigonal
Raw total energy, eV per atom: -6.22
Space-group type: R-3m, No. 166

***

Entry 2:
U3Sb4Pt3: optimized geometry, PBE.

The structure in POSCAR format:
```
U3Sb4Pt3
1.0
-4.8712 4.8712 4.8712
4.8712 -4.8712 4.8712
4.8712 4.8712 -4.8712
U Sb Pt
6 8 6
Direct
0.1250 0.8750 0.2500
0.2500 0.1250 0.8750
0.3750 0.6250 0.7500
0.6250 0.7500 0.3750
0.7500 0.3750 0.6250
0.8750 0.2500 0.1250
0.0000 0.1792 0.5000
0.0000 0.6792 0.5000
0.1792 0.5000 0.0000
0.3208 0.3208 0.3208
0.5000 0.0000 0.1792
0.5000 0.0000 0.6792
0.6792 0.5000 0.0000
0.8208 0.8208 0.8208
0.1250 0.7500 0.8750
0.2500 0.6250 0.3750
0.3750 0.2500 0.6250
0.6250 0.3750 0.2500
0.7500 0.8750 0.1250
0.8750 0.1250 0.7500
```

Calculated values
Crystal system: cubic
Raw total energy, eV per atom: -7.46
Space-group type: I-43d, No. 220

***

Entry 3:
USbPt2: optimized geometry, PBE.

The structure in POSCAR format:
```
USbPt2
1.0
0.0000 3.4276 3.4276
3.4276 0.0000 3.4276
3.4276 3.4276 0.0000
U Sb Pt
1 1 2
Direct
0.0000 0.0000 0.0000
0.5000 0.5000 0.5000
0.2500 0.2500 0.2500
0.7500 0.7500 0.7500
```

Calculated values
Crystal system: cubic
Space-group type: Fm-3m, No. 225
Offset from the most stable computed form, meV per atom: 32

***

Entry 4:
USbPt2: optimized geometry, PBE.

The structure in POSCAR format:
```
USbPt2
1.0
2.1397 1.2354 5.4401
-2.1397 1.2354 5.4401
0.0000 -2.4707 5.4401
U Sb Pt
1 1 2
Direct
0.0000 0.0000 0.0000
0.5000 0.5000 0.5000
0.2421 0.2421 0.2421
0.7579 0.7579 0.7579
```

Calculated values
Crystal system: trigonal
Space-group type: R-3m, No. 166
Offset from the most stable computed form, meV per atom: 0

***

Entry 5:
V3SbPt: optimized geometry, PBE.

The structure in POSCAR format:
```
V3SbPt
1.0
4.7513 0.0000 0.0000
0.0000 4.7513 0.0000
0.0000 0.0000 4.7513
V Sb Pt
3 1 1
Direct
0.0000 0.0000 0.5000
0.0000 0.5000 0.0000
0.5000 0.0000 0.0000
0.5000 0.5000 0.5000
0.0000 0.0000 0.0000
```

Calculated values
Crystal system: cubic
Space-group type: Pm-3m, No. 221
Offset from the most stable computed form, meV per atom: 0

***

Entry 6:
V2SbPt2: optimized geometry, PBE.

The structure in POSCAR format:
```
V2SbPt2
1.0
7.7114 0.0000 0.0000
0.0000 7.7114 0.0000
0.0000 0.0000 2.8402
V Sb Pt
4 2 4
Direct
0.1650 0.3350 0.0000
0.3350 0.8350 0.0000
0.6650 0.1650 0.0000
0.8350 0.6650 0.0000
0.0000 0.0000 0.5000
0.5000 0.5000 0.5000
0.1289 0.6289 0.5000
0.3711 0.1289 0.5000
0.6289 0.8711 0.5000
0.8711 0.3711 0.5000
```

Calculated values
Crystal system: tetragonal
Space-group type: P4/mbm, No. 127
Offset from the most stable computed form, meV per atom: 0

***

Entry 7:
V2Sb2Pt: optimized geometry, PBE.

The structure in POSCAR format:
```
V2Sb2Pt
1.0
-2.0209 2.0209 6.0114
2.0209 -2.0209 6.0114
2.0209 2.0209 -6.0114
V Sb Pt
2 2 1
Direct
0.0848 0.0848 0.0000
0.9152 0.9152 0.0000
0.2500 0.7500 0.5000
0.7500 0.2500 0.5000
0.5000 0.5000 0.0000
```

Calculated values
Crystal system: tetragonal
Space-group type: I4/mmm, No. 139
Offset from the most stable computed form, meV per atom: 396

***

Entry 8:
V2Sb2Pt: optimized geometry, PBE.

The structure in POSCAR format:
```
V2Sb2Pt
1.0
7.0299 0.0000 0.0000
0.0000 7.0299 0.0000
0.0000 0.0000 3.6543
V Sb Pt
4 4 2
Direct
0.1232 0.3768 0.0000
0.3768 0.8768 0.0000
0.6232 0.1232 0.0000
0.8768 0.6232 0.0000
0.1735 0.6735 0.5000
0.3265 0.1735 0.5000
0.6735 0.8265 0.5000
0.8265 0.3265 0.5000
0.0000 0.0000 0.0000
0.5000 0.5000 0.0000
```

Calculated values
Crystal system: tetragonal
Space-group type: P4/mbm, No. 127
Offset from the most stable computed form, meV per atom: 0

***

Entry 9:
Sb2PtW: optimized geometry, PBE.

The structure in POSCAR format:
```
Sb2PtW
1.0
3.4518 0.0000 0.0000
0.0000 3.4518 0.0000
0.0000 0.0000 6.3657
Sb Pt W
2 1 1
Direct
0.0000 0.0000 0.2454
0.0000 0.0000 0.7546
0.5000 0.5000 0.5000
0.5000 0.5000 0.0000
```

Calculated values
Crystal system: tetragonal
Space-group type: P4/mmm, No. 123
Offset from the most stable computed form, meV per atom: 180

***

Entry 10:
Sb2PtW: optimized geometry, PBE.

The structure in POSCAR format:
```
Sb2PtW
1.0
-2.2385 2.2385 3.8234
2.2385 -2.2385 3.8234
2.2385 2.2385 -3.8234
Sb Pt W
2 1 1
Direct
0.2500 0.7500 0.5000
0.7500 0.2500 0.5000
0.0000 0.0000 0.0000
0.5000 0.5000 0.0000
```

Calculated values
Crystal system: tetragonal
Space-group type: I4/mmm, No. 139
Offset from the most stable computed form, meV per atom: 335

***

Entry 11:
Sb2PtW: optimized geometry, PBE.

The structure in POSCAR format:
```
Sb2PtW
1.0
0.0000 3.4200 3.4200
3.4200 0.0000 3.4200
3.4200 3.4200 0.0000
Sb Pt W
2 1 1
Direct
0.0000 0.0000 0.0000
0.2500 0.2500 0.2500
0.7500 0.7500 0.7500
0.5000 0.5000 0.5000
```

Calculated values
Crystal system: cubic
Space-group type: F-43m, No. 216
Offset from the most stable computed form, meV per atom: 587

***

Entry 12:
Sb2PtW: optimized geometry, PBE.

The structure in POSCAR format:
```
Sb2PtW
1.0
4.3870 -1.6669 0.0000
4.3870 1.6669 0.0000
-1.0914 0.0000 5.3350
Sb Pt W
2 1 1
Direct
0.2425 0.2425 0.2367
0.7575 0.7575 0.7633
0.0000 0.0000 0.5000
0.5000 0.5000 0.0000
```

Calculated values
Crystal system: monoclinic
Space-group type: C2/m, No. 12
Offset from the most stable computed form, meV per atom: 271

***

How do the records compare in M_tot? In the order shown, they have 3.1; 6.0; 1.2; 1.7; 5.1; 2.7; 0.0; 0.0; 0.0; 0.0; 0.0; 0.0 μB per formula unit.